Crystalline LiLuGaCu at its relaxed geometry. Source: the Open Quantum Materials Database, functional PBE.

Structure (CIF):
```
data_LiLuGaCu
_symmetry_space_group_name_H-M 'F -4 3 m'
_symmetry_Int_Tables_number 216
_symmetry_space_group_name_Hall 'F -4 2 3'
_cell_length_a 6.404
_cell_length_b 6.404
_cell_length_c 6.404
_cell_angle_alpha 90.00
_cell_angle_beta 90.00
_cell_angle_gamma 90.00
loop_
_atom_site_label
_atom_site_type_symbol
_atom_site_fract_x
_atom_site_fract_y
_atom_site_fract_z
Li1 Li 0.000 0.000 0.000
Lu1 Lu 0.250 0.250 0.250
Ga1 Ga 0.000 0.000 0.500
Cu1 Cu 0.250 0.250 0.750
```

Calculated values
energy relative to the lowest polymorph listed for this composition: 107.3 meV/atom
electronic total energy: -3.5553 eV/atom

=====

Crystalline LiLuGaCu at its relaxed geometry. Source: the Open Quantum Materials Database, functional PBE.

Structure (CIF):
```
data_LiLuGaCu
_symmetry_space_group_name_H-M 'F -4 3 m'
_symmetry_Int_Tables_number 216
_symmetry_space_group_name_Hall 'F -4 2 3'
_cell_length_a 6.342
_cell_length_b 6.342
_cell_length_c 6.342
_cell_angle_alpha 90.00
_cell_angle_beta 90.00
_cell_angle_gamma 90.00
loop_
_atom_site_label
_atom_site_type_symbol
_atom_site_fract_x
_atom_site_fract_y
_atom_site_fract_z
Li1 Li 0.000 0.000 0.000
Lu1 Lu 0.250 0.250 0.750
Ga1 Ga 0.250 0.250 0.250
Cu1 Cu 0.000 0.000 0.500
```

Calculated values
energy relative to the lowest polymorph listed for this composition: 0.0 meV/atom
electronic total energy: -3.6626 eV/atom